(P)
SmHo2Hg6: optimized geometry, GGA-PBE. Values from VASP.

Summary:
Its total magnetic moment is 0.0 μB per cell. Its crystal system is tetragonal.

Cell and atoms, written as Quantum ESPRESSO input:
```
&SYSTEM
  ibrav = 0, nat = 9, ntyp = 3
/
ATOMIC_SPECIES
Sm 150.36 Sm.upf
Ho 164.93 Ho.upf
Hg 200.59 Hg.upf
ATOMIC_POSITIONS crystal
Sm 0.000 0.000 0.000
Ho 0.332 0.332 0.000
Ho 0.668 0.668 0.000
Hg 0.086 0.586 0.500
Hg 0.250 0.750 0.500
Hg 0.414 0.914 0.500
Hg 0.586 0.086 0.500
Hg 0.750 0.250 0.500
Hg 0.914 0.414 0.500
CELL_PARAMETERS angstrom
-2.260 2.260 12.825
2.260 -2.260 12.825
2.260 2.260 -12.825
```

(Q)
SmHo2Hg6: optimized geometry, GGA-PBE. Values from VASP.

Summary:
Its total magnetic moment is 0.0 μB per cell. Its crystal system is monoclinic.

Cell and atoms, written as Quantum ESPRESSO input:
```
&SYSTEM
  ibrav = 0, nat = 18, ntyp = 3
/
ATOMIC_SPECIES
Sm 150.36 Sm.upf
Ho 164.93 Ho.upf
Hg 200.59 Hg.upf
ATOMIC_POSITIONS crystal
Sm 0.126 0.874 0.750
Sm 0.874 0.126 0.250
Ho 0.209 0.458 0.915
Ho 0.458 0.209 0.415
Ho 0.542 0.791 0.585
Ho 0.791 0.542 0.085
Hg 0.013 0.759 0.195
Hg 0.099 0.351 0.362
Hg 0.241 0.987 0.305
Hg 0.322 0.568 0.470
Hg 0.351 0.099 0.862
Hg 0.432 0.678 0.030
Hg 0.568 0.322 0.970
Hg 0.649 0.901 0.138
Hg 0.678 0.432 0.530
Hg 0.759 0.013 0.695
Hg 0.901 0.649 0.638
Hg 0.987 0.241 0.805
CELL_PARAMETERS angstrom
7.217 -5.868 0.000
7.217 5.868 0.000
-0.946 0.000 5.363
```

Most favorable structure: (Q). The second most favorable one is 234 meV per atom above it.

(P)
SmHoHg2: optimized geometry, GGA-PBE. Values from VASP.

Summary:
Its total magnetic moment is 0.6 μB per cell. Its crystal system is cubic.

Cell and atoms, written as Quantum ESPRESSO input:
```
&SYSTEM
  ibrav = 0, nat = 4, ntyp = 3
/
ATOMIC_SPECIES
Sm 150.36 Sm.upf
Ho 164.93 Ho.upf
Hg 200.59 Hg.upf
ATOMIC_POSITIONS crystal
Sm 0.000 0.000 0.000
Ho 0.500 0.500 0.500
Hg 0.250 0.250 0.250
Hg 0.750 0.750 0.750
CELL_PARAMETERS angstrom
0.000 3.752 3.752
3.752 0.000 3.752
3.752 3.752 0.000
```

(Q)
SmHoHg2: optimized geometry, GGA-PBE. Values from VASP.

Summary:
Its total magnetic moment is 0.5 μB per cell. Its crystal system is tetragonal.

Cell and atoms, written as Quantum ESPRESSO input:
```
&SYSTEM
  ibrav = 0, nat = 4, ntyp = 3
/
ATOMIC_SPECIES
Sm 150.36 Sm.upf
Ho 164.93 Ho.upf
Hg 200.59 Hg.upf
ATOMIC_POSITIONS crystal
Sm 0.000 0.000 0.000
Ho 0.000 0.000 0.500
Hg 0.500 0.500 0.265
Hg 0.500 0.500 0.735
CELL_PARAMETERS angstrom
3.722 0.000 0.000
0.000 3.722 0.000
0.000 0.000 7.618
```

(R)
SmHoHg2: optimized geometry, GGA-PBE. Values from VASP.

Summary:
Its total magnetic moment is 0.0 μB per cell. Its crystal system is trigonal.

Cell and atoms, written as Quantum ESPRESSO input:
```
&SYSTEM
  ibrav = 0, nat = 4, ntyp = 3
/
ATOMIC_SPECIES
Sm 150.36 Sm.upf
Ho 164.93 Ho.upf
Hg 200.59 Hg.upf
ATOMIC_POSITIONS crystal
Sm 0.000 0.000 0.000
Ho 0.834 0.834 0.834
Hg 0.248 0.248 0.248
Hg 0.419 0.419 0.419
CELL_PARAMETERS angstrom
1.882 1.087 9.257
-1.882 1.087 9.257
0.000 -2.174 9.257
```

Most favorable structure: (Q). The second most favorable one is 6 meV per atom above it.

(P)
Sm3Ho2Hg2: optimized geometry, GGA-PBE. Values from VASP.

Summary:
Its total magnetic moment is 0.4 μB per cell. Its crystal system is orthorhombic.

Cell and atoms, written as Quantum ESPRESSO input:
```
&SYSTEM
  ibrav = 0, nat = 7, ntyp = 3
/
ATOMIC_SPECIES
Sm 150.36 Sm.upf
Ho 164.93 Ho.upf
Hg 200.59 Hg.upf
ATOMIC_POSITIONS crystal
Sm 0.000 0.000 0.000
Sm 0.143 0.857 0.000
Sm 0.857 0.143 0.000
Ho 0.290 0.710 0.500
Ho 0.710 0.290 0.500
Hg 0.429 0.571 0.500
Hg 0.571 0.429 0.500
CELL_PARAMETERS angstrom
2.470 -11.577 0.000
2.470 11.577 0.000
0.000 0.000 3.519
```

(Q)
Sm3Ho2Hg2: optimized geometry, GGA-PBE. Values from VASP.

Summary:
Its total magnetic moment is 0.0 μB per cell. Its crystal system is monoclinic.

Cell and atoms, written as Quantum ESPRESSO input:
```
&SYSTEM
  ibrav = 0, nat = 7, ntyp = 3
/
ATOMIC_SPECIES
Sm 150.36 Sm.upf
Ho 164.93 Ho.upf
Hg 200.59 Hg.upf
ATOMIC_POSITIONS crystal
Sm 0.000 0.000 0.000
Sm 0.159 0.159 0.476
Sm 0.841 0.841 0.524
Ho 0.425 0.425 0.277
Ho 0.575 0.575 0.723
Hg 0.288 0.288 0.864
Hg 0.712 0.712 0.136
CELL_PARAMETERS angstrom
4.681 -2.705 0.000
4.681 2.705 0.000
-3.126 0.000 7.991
```

Most favorable structure: (Q). The second most favorable one is 125 meV per atom above it.